1.
SiNiHg3, relaxed, DFT GGA-PBE; formation energy from raw total energies = 4.30 eV/f.u.; spin magnetization = 0.00 μB per formula unit; electronic total energy = -1.562 eV/atom; space-group type = Pm-3m, No. 221
1.0
5.0591 0.0000 0.0000
0.0000 5.0591 0.0000
0.0000 0.0000 5.0591
Ni Hg Si
1 3 1
Direct
0.5000 0.5000 0.5000
0.5000 0.0000 0.0000
0.0000 0.0000 0.5000
0.0000 0.5000 0.0000
0.0000 0.0000 0.0000

***

2.
SiNiHg2, relaxed, DFT GGA-PBE; formation energy from raw total energies = 1.89 eV/f.u.; spin magnetization = 0.00 μB per formula unit; electronic total energy = -2.480 eV/atom; space-group type = Cmmm, No. 65
1.0
4.7057 0.0726 0.0000
-1.5452 4.4454 0.0000
0.0000 0.0000 3.4304
Si Ni Hg
1 1 2
Direct
0.0000 0.5000 0.5000
0.5000 0.0000 0.5000
0.5000 0.5000 0.0000
0.0000 0.0000 0.0000

***

3.
SiNiHg2, relaxed, DFT GGA-PBE; formation energy from raw total energies = 1.85 eV/f.u.; spin magnetization = 0.00 μB per formula unit; electronic total energy = -2.489 eV/atom; space-group type = C2/m, No. 12
1.0
-2.4572 -4.0754 0.0943
-0.6835 -3.8016 -2.7814
3.4072 -3.0865 1.8077
Hg Ni Si
2 1 1
Direct
0.0060 0.0060 0.9883
0.4940 0.4940 0.5117
0.7500 0.7500 0.7500
0.2500 0.2500 0.2500

***

4.
SiNiHg3, relaxed, DFT GGA-PBE; formation energy from raw total energies = 3.14 eV/f.u.; spin magnetization = 0.00 μB per formula unit; electronic total energy = -1.794 eV/atom; space-group type = Pm-3m, No. 221
1.0
-3.0791 -2.5984 -2.8818
3.1123 -3.8509 0.1467
-2.3173 -1.7194 4.0263
Hg Si Ni
3 1 1
Direct
0.0000 0.0000 0.5000
0.5000 0.0000 0.0000
0.0000 0.5000 0.0000
0.5000 0.5000 0.5000
0.0000 0.0000 0.0000

***

5.
Sr2SiNiHg, relaxed, DFT GGA-PBE; formation energy from raw total energies = -1.72 eV/f.u.; spin magnetization = 0.00 μB per formula unit; electronic total energy = -3.318 eV/atom; space-group type = P4/mmm, No. 123
1.0
5.7645 0.0000 0.0000
0.0000 5.7645 0.0000
0.0000 0.0000 4.3451
Sr Ni Si Hg
2 1 1 1
Direct
0.0000 0.5000 0.0000
0.5000 0.0000 0.0000
0.0000 0.0000 0.0000
0.0000 0.0000 0.5000
0.5000 0.5000 0.5000

***

6.
Sm2Ni2Hg3, relaxed, DFT GGA-PBE; spin magnetization = 0.00 μB per formula unit; electronic total energy = -3.480 eV/atom; space-group type = Cmmm, No. 65
1.0
-2.5442 2.5045 1.2379
-0.2798 -2.0244 3.5208
7.5903 6.6778 2.0894
Hg Ni Sm
3 2 2
Direct
0.5000 0.4202 0.8405
0.0000 0.0000 0.0000
0.5000 0.5798 0.1595
0.5000 0.7165 0.4331
0.5000 0.2835 0.5669
0.0000 0.1705 0.3409
0.0000 0.8295 0.6591